The following is a DFT calculation (PBE) of an optimized crystal structure of KRbCd.

```
KRbCd
1.0
4.9631 0.0074 0.0034
0.0103 9.4002 -2.0179
0.0014 0.0434 7.3253
K Rb Cd
2 2 2
Direct
0.3283 0.1643 0.7515 K
0.8259 0.8343 0.1547 K
0.8282 0.3164 0.2963 Rb
0.3264 0.6828 0.6102 Rb
0.8282 0.4613 0.8429 Cd
0.3281 0.5371 0.0627 Cd
```

Calculated values
N(E_F): 0.589 states/eV per atom
Energy above the lowest structure with this stoichiometry: 0.019 eV/f.u.
Space-group type: No. 1
Total DFT energy (no corrections): -6.2 eV for the cell shown

The following is a DFT calculation (PBE) of an optimized crystal structure of RbHSeS2.

```
RbHSeS2
1.0
-3.7157 5.6468 -0.2944
-5.8290 -3.8204 0.2920
0.0751 0.4016 6.7537
H S Se Rb
1 2 1 1
Direct
0.5000 0.5000 0.5000 H
0.0000 0.0000 0.5000 S
0.5000 0.0000 0.0000 S
0.0000 0.5000 0.0000 Se
0.0000 0.0000 0.0000 Rb
```

Calculated values
N(E_F): 1.409 states/eV per atom
Energy above the lowest structure with this stoichiometry: 4.103 eV/f.u.
Space-group type: No. 123
Total DFT energy (no corrections): -9.2 eV for the cell shown